Below is an optimized crystal structure of Cs2Li3MoF12, with properties calculated at the PBE with a Hubbard U level.

Cell lengths 7.2296, 7.2296, 19.9075 Å; angles 90.00, 90.00, 120.00 degrees
Space group R-3m (No. 166, hexagonal axes)
Asymmetric unit:
Cs1 0.0000 0.0000 0.1010
Li1 0.0000 0.5000 0.0000
Mo1 0.0000 0.0000 0.5000
F1 0.0746 0.5373 0.1145
F2 0.0789 0.5395 0.3523

Summary:
As for the uncorrected energy: -239.3 eV per cell. Its crystal system is trigonal.